{"formula": "La2ZrGa3Pt4", "functional": "PBE", "state": "optimized geometry", "magnetic_moment_mub_per_atom": 0.00, "dft_energy_ev_per_atom": -6.157, "sg": "P-4m2", "lattice_angstrom": [[4.303, 0.000, 0.000], [0.000, 4.303, 0.000], [0.000, 0.000, 11.130]], "species": ["La", "La", "Zr", "Ga", "Ga", "Ga", "Pt", "Pt", "Pt", "Pt"], "fractional_positions": [[0.000, 0.500, 0.236], [0.500, 0.000, 0.764], [0.000, 0.000, 0.500], [0.000, 0.500, 0.876], [0.500, 0.000, 0.124], [0.500, 0.500, 0.500], [0.000, 0.000, 0.000], [0.000, 0.500, 0.649], [0.500, 0.000, 0.351], [0.500, 0.500, 0.000]]}

---

{"formula": "La2PuGa", "functional": "PBE", "state": "optimized geometry", "polymorph_energy_mev_per_atom": 6, "magnetic_moment_mub_per_atom": 1.62, "sg": "P4/mmm", "lattice_angstrom": [[4.953, 0.000, 0.000], [0.000, 4.953, 0.000], [0.000, 0.000, 4.588]], "species": ["La", "La", "Pu", "Ga"], "fractional_positions": [[0.000, 0.500, 0.000], [0.500, 0.000, 0.000], [0.000, 0.000, 0.500], [0.500, 0.500, 0.500]]}

---

{"formula": "La2PuGa", "functional": "PBE", "state": "optimized geometry", "polymorph_energy_mev_per_atom": 0, "magnetic_moment_mub_per_atom": 1.75, "sg": "P4/mmm", "lattice_angstrom": [[3.747, 0.000, 0.000], [0.000, 3.747, 0.000], [0.000, 0.000, 8.497]], "species": ["La", "La", "Pu", "Ga"], "fractional_positions": [[0.000, 0.000, 0.217], [0.000, 0.000, 0.783], [0.500, 0.500, 0.500], [0.500, 0.500, 0.000]]}